Entry 1:
Below is an optimized crystal structure of HgP2W, with properties calculated at the PBE level.

Cell: 3.125 3.125 7.495 Å, 90.00 90.00 90.00°
Sites, in units of the cell vectors:
Hg1 0.000 0.000 0.000
P1 0.000 0.000 0.571
P2 0.500 0.500 0.397
W1 0.500 0.500 0.722

Values from the calculation:
**Total magnetic moment**: 0.0000 μB/atom
**DOS(E_F)**: 2.00 states/eV per cell
**Space-group type**: No. 99
**Energy of formation from the pure elements**: 1.42 eV per formula unit

***

Entry 2:
Below is an optimized crystal structure of Li2PRu, with properties calculated at the PBE level.

Cell: 4.979 4.979 4.979 Å, 145.12 134.45 58.62°
Sites, in units of the cell vectors:
Li1 0.239 0.239 0.000
Li2 0.761 0.761 0.000
P1 0.000 0.500 0.500
Ru1 0.500 0.000 0.500

Values from the calculation:
**Total magnetic moment**: 0.0000 μB/atom
**DOS(E_F)**: 2.48 states/eV per cell
**Space-group type**: No. 71
**Energy of formation from the pure elements**: -1.19 eV per formula unit

***

Entry 3:
Below is an optimized crystal structure of PmHoCoHg, with properties calculated at the PBE level.

Cell: 5.086 5.086 5.086 Å, 60.00 60.00 60.00°
Sites, in units of the cell vectors:
Pm1 0.000 0.000 0.000
Ho1 0.500 0.500 0.500
Co1 0.250 0.250 0.250
Hg1 0.750 0.750 0.750

Values from the calculation:
**Total magnetic moment**: 0.1186 μB/atom
**DOS(E_F)**: 2.89 states/eV per cell
**Space-group type**: No. 216
**Energy of formation from the pure elements**: -0.74 eV per formula unit